The following is a DFT calculation (PBEsol) of a geometry-optimized Li2ScMn structure.

Calculated values
Magnetization ... 2.4 μB/cell
Space group ... P4mm (99)
Formation enthalpy at 0 K ... 0.223 eV per atom

Cell lengths 2.9770, 2.9770, 8.2693 Å; angles 90.00, 90.00, 90.00 degrees
Site moments in Bohr magnetons follow the coordinates.
Fractional positions:
Li 0.0000 0.0000 0.0168  0.00
Li 0.5000 0.5000 0.2812  -0.01
Mn 0.0000 0.0000 0.4976  2.97
Sc 0.5000 0.5000 0.7044  -0.44